Record 1
This record from the Alexandria database describes a relaxed structure of ReBAuCl. The functional is PBE-GGA.

a = 2.8912 Å, b = 3.0541 Å, c = 7.9049 Å
α = 89.44°, β = 89.93°, γ = 90.00°
Last column: nearest neighbours and their distance in Å.
Space group P1 (No. 1)
Symmetry-distinct sites (fractional):
Re 0.0000 0.0000 0.0000 (multiplicity 1)  4 B 2.21, 2 Cl 2.40
B 0.4996 0.4978 0.0877 (multiplicity 1)  4 Re 2.21, 2 Au 2.39-2.40
Au 0.4992 0.9906 0.3208 (multiplicity 1)  2 B 2.39-2.40
Cl 0.5009 0.0063 0.7572 (multiplicity 1)  2 Re 2.40

The value obtained for the distance to the lowest polymorph of the same formula is 0.0 meV per atom. The total energy is -5.842 eV per atom. The uncorrected formation energy is 21.3 kJ/mol of atoms.

=====

Record 2
This record from the Alexandria database describes a relaxed structure of Cs5PmTe4. The functional is PBE-GGA.

a = 22.9825 Å, b = 5.1977 Å, c = 9.7181 Å
α = 90.00°, β = 115.01°, γ = 90.00°
Last column: nearest neighbours and their distance in Å.
Space group C2/m (No. 12)
Symmetry-distinct sites (fractional):
Cs 0.0000 0.0000 0.0000 (multiplicity 2)  4 Te 3.81
Cs 0.1712 0.5000 0.9315 (multiplicity 4)  3 Te 3.60-3.63
Cs 0.1715 0.5000 0.4142 (multiplicity 4)  3 Te 3.59-3.62
Pm 0.0000 0.0000 0.5000 (multiplicity 2)  6 Te 3.31-3.32
Te 0.0002 0.5000 0.2872 (multiplicity 4)  2 Pm 3.32, 2 Cs 3.59-3.60
Te 0.1589 0.0000 0.6601 (multiplicity 4)  1 Pm 3.31, 4 Cs 3.62-3.63

The total energy is -3.205 eV per atom. The uncorrected formation energy is -101.0 kJ/mol of atoms.

=====

Record 3
This record from the Alexandria database describes a relaxed structure of CdSeCl2. The functional is PBE-GGA.

a = 4.5835 Å, b = 4.5957 Å, c = 5.0600 Å
α = 90.00°, β = 90.00°, γ = 90.00°
Last column: nearest neighbours and their distance in Å.
Space group Pmm2 (No. 25)
Symmetry-distinct sites (fractional):
Cd 0.0000 0.0000 0.0000 (multiplicity 1)  2 Cl 2.52-2.54
Se 0.5000 0.5000 0.9795 (multiplicity 1)  1 Cl 2.17
Cl 0.0000 0.0000 0.4987 (multiplicity 1)  2 Cd 2.52-2.54
Cl 0.5000 0.5000 0.5504 (multiplicity 1)  1 Se 2.17

The value obtained for the distance to the lowest polymorph of the same formula is 225.6 meV per atom. The total energy is -2.335 eV per atom. The uncorrected formation energy is -30.1 kJ/mol of atoms.

=====

Record 4
This record from the Alexandria database describes a relaxed structure of Ac6Ge3Pt. The functional is PBE-GGA.

a = 7.3087 Å, b = 8.5776 Å, c = 13.4029 Å
α = 90.00°, β = 121.38°, γ = 90.00°
Last column: nearest neighbours and their distance in Å.
Space group P2_1/c (No. 14)
Symmetry-distinct sites (fractional):
Ac 0.0856 0.1875 0.4279 (multiplicity 4)  1 Pt 3.02, 2 Ge 3.11-3.29
Ac 0.2615 0.6743 0.4202 (multiplicity 4)  1 Pt 3.03, 3 Ge 3.17-3.31
Ac 0.4052 0.0521 0.2466 (multiplicity 4)  1 Pt 3.11, 3 Ge 3.12-3.30
Ge 0.1753 0.1132 0.7392 (multiplicity 4)  6 Ac 3.28-3.39
Ge 0.5000 0.0000 0.5000 (multiplicity 2)  6 Ac 3.11-3.17
Pt 0.0000 0.0000 0.0000 (multiplicity 2)  6 Ac 3.02-3.11

For the formation energy, the calculation gives -639 meV per atom. The total energy is -5.093 eV per atom.

=====

Record 5
This record from the Alexandria database describes a relaxed structure of La3Sm13. The functional is PBE-GGA.

a = 10.3462 Å, b = 10.3120 Å, c = 10.3321 Å
α = 90.00°, β = 90.00°, γ = 90.00°
Last column: nearest neighbours and their distance in Å.
Space group Amm2 (No. 38)
Symmetry-distinct sites (fractional):
La 0.0000 0.0000 0.0000 (multiplicity 2)  10 Sm 3.62-3.67, 2 La 3.68
La 0.2504 0.0000 0.2531 (multiplicity 4)  11 Sm 3.64-3.67, 1 La 3.68
Sm 0.0000 0.0000 0.5043 (multiplicity 2)  10 Sm 3.62-3.67, 2 La 3.67
Sm 0.0000 0.2487 0.7521 (multiplicity 4)  8 Sm 3.62-3.67, 4 La 3.62-3.67
Sm 0.2513 0.2495 0.5023 (multiplicity 8)  9 Sm 3.64-3.67, 3 La 3.64-3.67
Sm 0.2518 0.0000 0.7514 (multiplicity 4)  11 Sm 3.62-3.66, 1 La 3.66
Sm 0.5000 0.0000 0.0011 (multiplicity 2)  10 Sm 3.63-3.67, 2 La 3.67
Sm 0.5000 0.0000 0.5039 (multiplicity 2)  10 Sm 3.62-3.67, 2 La 3.66
Sm 0.5000 0.2483 0.7525 (multiplicity 4)  10 Sm 3.63-3.67, 2 La 3.66

For the formation energy, the calculation gives 18 meV per atom. The value obtained for the distance to the lowest polymorph of the same formula is 0.0 meV per atom. The total energy is -4.740 eV per atom.

=====

Record 6
This record from the Alexandria database describes a relaxed structure of RbCuSi2. The functional is PBE-GGA.

a = 6.9200 Å, b = 6.9200 Å, c = 6.9200 Å
α = 90.00°, β = 90.00°, γ = 90.00°
Last column: nearest neighbours and their distance in Å.
Space group Fm-3m (No. 225)
Symmetry-distinct sites (fractional):
Rb 0.0000 0.0000 0.0000 (multiplicity 4)  8 Si 3.00
Cu 0.0000 0.0000 0.5000 (multiplicity 4)  8 Si 3.00
Si 0.2500 0.2500 0.2500 (multiplicity 8)  4 Rb 3.00, 4 Cu 3.00

The value obtained for the distance to the lowest polymorph of the same formula is 661.7 meV per atom. The total energy is -3.006 eV per atom. The uncorrected formation energy is 93.7 kJ/mol of atoms.